Material: La2MgAs3Pt4
Method: DFT, GGA-PBE
State: relaxed

Unit cell a=4.3576 b=4.3576 c=10.6475 alpha=90.00 beta=90.00 gamma=90.00
Space group P-4m2 (No. 115)
Symmetry-distinct sites (fractional):
La 0.0000 0.5000 0.2335 [2 per cell]
Mg 0.0000 0.0000 0.5000 [1 per cell]
As 0.0000 0.5000 0.8678 [2 per cell]
As 0.5000 0.5000 0.5000 [1 per cell]
Pt 0.0000 0.0000 0.0000 [1 per cell]
Pt 0.0000 0.5000 0.6358 [2 per cell]
Pt 0.5000 0.5000 0.0000 [1 per cell]

Output
Its formation energy is -0.96 eV/atom.


Material: LaMgAs2Ru
Method: DFT, GGA-PBE
State: relaxed

Unit cell a=5.6510 b=5.6510 c=4.8356 alpha=90.00 beta=90.00 gamma=90.00
Space group P4/mmm (No. 123)
Symmetry-distinct sites (fractional):
La 0.0000 0.0000 0.0000 [1 per cell]
Mg 0.5000 0.5000 0.5000 [1 per cell]
As 0.0000 0.5000 0.0000 [2 per cell]
Ru 0.0000 0.0000 0.5000 [1 per cell]

Output
Its formation energy is 0.91 eV/atom.


Material: LaMgAs2Se
Method: DFT, GGA-PBE
State: relaxed

Unit cell a=4.9407 b=4.9407 c=5.1287 alpha=90.00 beta=90.00 gamma=90.00
Space group P4/mmm (No. 123)
Symmetry-distinct sites (fractional):
La 0.0000 0.0000 0.0000 [1 per cell]
Mg 0.5000 0.5000 0.5000 [1 per cell]
As 0.0000 0.5000 0.5000 [2 per cell]
Se 0.5000 0.5000 0.0000 [1 per cell]

Output
The formation energy from raw total energies is -484.3 meV per atom.


Material: LaMgAs2Se
Method: DFT, GGA-PBE
State: relaxed

Unit cell a=5.6765 b=5.6765 c=5.6576 alpha=90.00 beta=90.00 gamma=90.00
Space group P4/mmm (No. 123)
Symmetry-distinct sites (fractional):
La 0.0000 0.0000 0.0000 [1 per cell]
Mg 0.5000 0.5000 0.5000 [1 per cell]
As 0.0000 0.5000 0.0000 [2 per cell]
Se 0.0000 0.0000 0.5000 [1 per cell]

Output
The formation energy from raw total energies is 198.1 meV per atom.


Material: LaMgZnAs2
Method: DFT, GGA-PBE
State: relaxed

Unit cell a=4.8993 b=4.8993 c=5.7576 alpha=90.00 beta=90.00 gamma=90.00
Space group P4/mmm (No. 123)
Symmetry-distinct sites (fractional):
La 0.0000 0.0000 0.0000 [1 per cell]
Mg 0.0000 0.0000 0.5000 [1 per cell]
Zn 0.5000 0.5000 0.0000 [1 per cell]
As 0.0000 0.5000 0.5000 [2 per cell]

Output
Its formation energy is 0.24 eV/atom.


Material: LaMn2As
Method: DFT, GGA-PBE
State: relaxed

Unit cell a=4.3758 b=4.3758 c=8.3980 alpha=90.00 beta=90.00 gamma=90.00
Space group I-4m2 (No. 119)
Symmetry-distinct sites (fractional):
La 0.0000 0.0000 0.0000 [2 per cell]
Mn 0.0000 0.0000 0.5000 [2 per cell]
Mn 0.0000 0.5000 0.7500 [2 per cell]
As 0.0000 0.5000 0.2500 [2 per cell]

Output
Its formation energy is 0.10 eV/atom.


Material: LaMnAs2
Method: DFT, GGA-PBE
State: relaxed

Unit cell a=3.9305 b=3.9305 c=21.3644 alpha=90.00 beta=90.00 gamma=90.00
Space group I4/mmm (No. 139)
Symmetry-distinct sites (fractional):
La 0.0000 0.0000 0.1144 [4 per cell]
Mn 0.0000 0.5000 0.2500 [4 per cell]
As 0.0000 0.0000 0.3186 [4 per cell]
As 0.0000 0.5000 0.0000 [4 per cell]

Output
Its formation energy is -0.83 eV/atom.


Material: LaMnAs2
Method: DFT, GGA-PBE
State: relaxed

Unit cell a=4.1522 b=6.0502 c=7.1975 alpha=90.00 beta=90.00 gamma=90.00
Space group Immm (No. 71)
Symmetry-distinct sites (fractional):
La 0.0000 0.0000 0.0000 [2 per cell]
Mn 0.0000 0.0000 0.5000 [2 per cell]
As 0.0000 0.5000 0.1969 [4 per cell]

Output
Its formation energy is -0.63 eV/atom.